No. 1
Density functional theory data (SCAN) for PrP3H6O12 at its PBEsol-relaxed geometry.

```
PrP3H6O12
1.0
6.598 0.000 0.000
-3.299 5.714 0.000
0.000 0.000 6.137
Pr P H O
1 3 6 12
Direct
0.000 0.000 0.000
0.384 0.282 0.500
0.718 0.102 0.500
0.898 0.616 0.500
0.035 0.494 0.126
0.035 0.494 0.874
0.459 0.965 0.126
0.459 0.965 0.874
0.506 0.541 0.126
0.506 0.541 0.874
0.003 0.736 0.289
0.003 0.736 0.711
0.025 0.397 0.000
0.264 0.267 0.289
0.264 0.267 0.711
0.372 0.975 0.000
0.471 0.095 0.500
0.603 0.628 0.000
0.624 0.529 0.500
0.733 0.997 0.289
0.733 0.997 0.711
0.905 0.376 0.500
```

Values from the calculation:
N(E_F) in states/eV/cell: 0.000

***

No. 2
Density functional theory data (SCAN) for PrP3H10O14 at its PBEsol-relaxed geometry.

```
PrP3H10O14
1.0
7.579 0.000 0.000
3.763 8.107 0.000
1.704 1.674 9.303
Pr P H O
2 6 20 28
Direct
0.061 0.257 0.266
0.939 0.743 0.734
0.133 0.079 0.660
0.138 0.270 0.876
0.479 0.138 0.678
0.521 0.862 0.322
0.862 0.730 0.124
0.867 0.921 0.340
0.211 0.859 0.920
0.226 0.958 0.031
0.230 0.492 0.310
0.263 0.365 0.458
0.346 0.485 0.618
0.349 0.668 0.117
0.363 0.399 0.126
0.369 0.659 0.573
0.473 0.222 0.076
0.492 0.488 0.780
0.508 0.512 0.220
0.527 0.778 0.924
0.631 0.341 0.427
0.637 0.601 0.874
0.651 0.332 0.883
0.654 0.515 0.382
0.737 0.635 0.542
0.770 0.508 0.690
0.774 0.042 0.969
0.789 0.141 0.080
0.044 0.159 0.521
0.051 0.217 0.762
0.069 0.455 0.847
0.097 0.182 0.024
0.116 0.919 0.740
0.174 0.417 0.380
0.290 0.848 0.997
0.307 0.595 0.650
0.317 0.981 0.299
0.344 0.298 0.116
0.364 0.040 0.638
0.370 0.183 0.832
0.381 0.554 0.179
0.445 0.298 0.569
0.555 0.702 0.431
0.619 0.446 0.821
0.630 0.817 0.168
0.636 0.960 0.362
0.656 0.702 0.884
0.683 0.019 0.701
0.693 0.405 0.350
0.710 0.152 0.003
0.826 0.583 0.620
0.884 0.081 0.260
0.903 0.818 0.976
0.931 0.545 0.153
0.949 0.783 0.238
0.956 0.841 0.479
```

Values from the calculation:
N(E_F) in states/eV/cell: 0.000

***

No. 3
Density functional theory data (SCAN) for RbPH4O5 at its PBEsol-relaxed geometry.

```
RbPH4O5
1.0
7.374 0.000 0.000
0.000 7.623 0.000
-1.947 0.000 9.233
Rb P H O
4 4 16 20
Direct
0.191 0.212 0.018
0.191 0.288 0.518
0.809 0.712 0.482
0.809 0.788 0.982
0.361 0.701 0.158
0.361 0.799 0.658
0.639 0.201 0.342
0.639 0.299 0.842
0.067 0.522 0.224
0.067 0.978 0.724
0.123 0.573 0.760
0.123 0.927 0.260
0.343 0.714 0.433
0.343 0.786 0.933
0.415 0.507 0.813
0.415 0.993 0.313
0.585 0.007 0.687
0.585 0.493 0.187
0.657 0.214 0.067
0.657 0.286 0.567
0.877 0.073 0.740
0.877 0.427 0.240
0.933 0.022 0.276
0.933 0.478 0.776
0.020 0.001 0.209
0.020 0.499 0.709
0.219 0.557 0.123
0.219 0.943 0.623
0.343 0.657 0.534
0.343 0.843 0.034
0.350 0.692 0.796
0.350 0.808 0.296
0.435 0.128 0.324
0.435 0.372 0.824
0.565 0.628 0.176
0.565 0.872 0.676
0.650 0.192 0.704
0.650 0.308 0.204
0.657 0.157 0.966
0.657 0.343 0.466
0.781 0.057 0.377
0.781 0.443 0.877
0.980 0.501 0.291
0.980 0.999 0.791
```

Values from the calculation:
N(E_F) in states/eV/cell: 0.000

***

No. 4
Density functional theory data (SCAN) for RbP2HO at its PBEsol-relaxed geometry.

```
RbP2HO
1.0
7.396 0.000 0.000
0.000 7.396 0.000
0.000 0.000 4.956
Rb P H O
1 2 1 1
Direct
0.000 0.000 0.000
0.000 0.500 0.000
0.500 0.000 0.000
0.500 0.500 0.500
0.000 0.000 0.500
```

***

No. 5
Density functional theory data (SCAN) for RbP2H3O6 at its PBEsol-relaxed geometry.

```
RbP2H3O6
1.0
7.255 0.000 0.000
3.320 6.608 0.000
3.345 -1.650 6.648
Rb P H O
2 4 6 12
Direct
0.039 0.302 0.272
0.961 0.698 0.728
0.335 0.028 0.631
0.460 0.572 0.147
0.540 0.428 0.853
0.665 0.972 0.369
0.081 0.804 0.286
0.341 0.240 0.840
0.466 0.694 0.670
0.534 0.306 0.330
0.659 0.760 0.160
0.919 0.196 0.714
0.132 0.196 0.609
0.249 0.799 0.210
0.319 0.425 0.883
0.332 0.821 0.635
0.345 0.090 0.820
0.380 0.448 0.296
0.620 0.552 0.704
0.655 0.910 0.180
0.668 0.179 0.365
0.681 0.575 0.117
0.751 0.201 0.790
0.868 0.804 0.391
```

Values from the calculation:
N(E_F) in states/eV/cell: 0.000

***

No. 6
Density functional theory data (SCAN) for RbPH2O2 at its PBEsol-relaxed geometry.

```
RbPH2O2
1.0
7.933 0.000 0.000
0.000 6.373 0.000
0.000 0.000 7.517
Rb P H O
4 4 8 8
Direct
0.130 0.250 0.141
0.370 0.750 0.641
0.630 0.250 0.359
0.870 0.750 0.859
0.122 0.250 0.677
0.378 0.750 0.177
0.622 0.250 0.823
0.878 0.750 0.323
0.023 0.750 0.437
0.243 0.750 0.050
0.257 0.250 0.550
0.477 0.250 0.937
0.523 0.750 0.063
0.743 0.750 0.450
0.757 0.250 0.950
0.977 0.250 0.563
0.126 0.046 0.780
0.126 0.454 0.780
0.374 0.546 0.280
0.374 0.954 0.280
0.626 0.046 0.720
0.626 0.454 0.720
0.874 0.546 0.220
0.874 0.954 0.220
```

Values from the calculation:
N(E_F) in states/eV/cell: 0.000

***

no.,M_tot (μB/cell),E (eV per formula unit)
1,0.0,-215.7
2,0.2,-248.2
3,0.0,-95.2
4,8.0,-42.9
5,0.0,-111.5
6,0.0,-59.4